# RbYPb, relaxed, DFT PBE
data_RbYPb
_space_group_name_H-M_alt 'P -6 m 2'
_space_group_IT_number 187
_space_group_name_Hall 'P -6 2'
_cell_length_a 5.6665
_cell_length_b 5.6665
_cell_length_c 4.0798
_cell_angle_alpha 90.00
_cell_angle_beta 90.00
_cell_angle_gamma 120.00
loop_
_atom_site_label
_atom_site_fract_x
_atom_site_fract_y
_atom_site_fract_z
_atom_site_occupancy
Rb1 0.0000 0.0000 0.0000 1
Y1 0.3333 0.6667 0.5000 1
Pb1 0.6667 0.3333 0.5000 1
# DFT total energy ... -3.62 eV/atom
# Volume ... 113 Å³/cell
# Crystal system ... hexagonal
# Excess energy over the best structure of this formula in the dataset ... 381 meV per atom
# DFT formation energy ... 0.10 eV per atom

***

# WBr2Cl, relaxed, DFT PBE
data_WBr2Cl
_space_group_name_H-M_alt 'I m m m'
_space_group_IT_number 71
_space_group_name_Hall '-I 2 2'
_cell_length_a 3.1703
_cell_length_b 4.7439
_cell_length_c 14.9700
_cell_angle_alpha 90.00
_cell_angle_beta 90.00
_cell_angle_gamma 90.00
loop_
_atom_site_label
_atom_site_fract_x
_atom_site_fract_y
_atom_site_fract_z
_atom_site_occupancy
W1 0.0000 0.0000 0.0000 1
Br1 0.0000 0.5000 0.3600 1
Cl1 0.0000 0.0000 0.5000 1
# DFT total energy ... -4.47 eV/atom
# Volume ... 225 Å³/cell
# Energy relative to the elements, uncorrected ... 7 kJ per mole of atoms
# Crystal system ... orthorhombic
# Excess energy over the best structure of this formula in the dataset ... 326 meV per atom

***

# CePrPuAl, relaxed, DFT PBE
data_CePrPuAl
_space_group_name_H-M_alt 'F -4 3 m'
_space_group_IT_number 216
_space_group_name_Hall 'F -4 2 3'
_cell_length_a 7.5545
_cell_length_b 7.5545
_cell_length_c 7.5545
_cell_angle_alpha 90.00
_cell_angle_beta 90.00
_cell_angle_gamma 90.00
loop_
_atom_site_label
_atom_site_fract_x
_atom_site_fract_y
_atom_site_fract_z
_atom_site_occupancy
Ce1 0.0000 0.0000 0.0000 1
Pr1 0.0000 0.0000 0.5000 1
Pu1 0.2500 0.2500 0.7500 1
Al1 0.2500 0.2500 0.2500 1
# DFT total energy ... -7.22 eV/atom
# Volume ... 431 Å³/cell
# Crystal system ... cubic
# DFT formation energy ... -0.03 eV per atom

***

# Ca4Cu3Pd, relaxed, DFT PBE
data_Ca4Cu3Pd
_space_group_name_H-M_alt 'P m m 2'
_space_group_IT_number 25
_cell_length_a 4.1208
_cell_length_b 4.3033
_cell_length_c 10.8235
_cell_angle_alpha 90.00
_cell_angle_beta 90.00
_cell_angle_gamma 90.00
loop_
_space_group_symop_operation_xyz
'x,y,z'
'-x,-y,z'
'-x,y,z'
'x,-y,z'
loop_
_atom_site_label
_atom_site_fract_x
_atom_site_fract_y
_atom_site_fract_z
_atom_site_occupancy
Ca1 0.0000 0.0000 0.0000 1
Ca2 0.0000 0.5000 0.2776 1
Ca3 0.5000 0.0000 0.4924 1
Ca4 0.5000 0.5000 0.7797 1
Cu1 0.0000 0.0000 0.6968 1
Cu2 0.0000 0.5000 0.5781 1
Cu3 0.5000 0.5000 0.0690 1
Pd1 0.5000 0.0000 0.2065 1
# DFT total energy ... -3.48 eV/atom
# Volume ... 192 Å³/cell
# Crystal system ... orthorhombic
# DFT formation energy ... -0.30 eV per atom

***

# Tc2RuPt, relaxed, DFT PBE
data_Tc2RuPt
_space_group_name_H-M_alt 'R -3 m'
_space_group_IT_number 166
_space_group_name_Hall '-R 3 2"'
_cell_length_a 2.7466
_cell_length_b 2.7466
_cell_length_c 26.9026
_cell_angle_alpha 90.00
_cell_angle_beta 90.00
_cell_angle_gamma 120.00
loop_
_atom_site_label
_atom_site_fract_x
_atom_site_fract_y
_atom_site_fract_z
_atom_site_occupancy
Tc1 0.0000 0.0000 0.2474 1
Ru1 0.0000 0.0000 0.5000 1
Pt1 0.0000 0.0000 0.0000 1
# DFT total energy ... -9.01 eV/atom
# Volume ... 176 Å³/cell
# Crystal system ... trigonal
# Excess energy over the best structure of this formula in the dataset ... 156 meV per atom
# DFT formation energy ... 0.00 eV per atom

***

# Sm2GdEr, relaxed, DFT PBE
data_Sm2GdEr
_space_group_name_H-M_alt 'P 4/m m m'
_space_group_IT_number 123
_space_group_name_Hall '-P 4 2'
_cell_length_a 4.1726
_cell_length_b 4.1726
_cell_length_c 7.5714
_cell_angle_alpha 90.00
_cell_angle_beta 90.00
_cell_angle_gamma 90.00
loop_
_atom_site_label
_atom_site_fract_x
_atom_site_fract_y
_atom_site_fract_z
_atom_site_occupancy
Sm1 0.0000 0.0000 0.2438 1
Gd1 0.5000 0.5000 0.5000 1
Er1 0.5000 0.5000 0.0000 1
# DFT total energy ... -6.92 eV/atom
# Volume ... 132 Å³/cell
# Crystal system ... tetragonal
# Excess energy over the best structure of this formula in the dataset ... 90 meV per atom
# DFT formation energy ... 0.11 eV per atom

***

# CdInOF2, relaxed, DFT PBE
data_CdInOF2
_space_group_name_H-M_alt 'P 4/m m m'
_space_group_IT_number 123
_space_group_name_Hall '-P 4 2'
_cell_length_a 4.9789
_cell_length_b 4.9789
_cell_length_c 3.8766
_cell_angle_alpha 90.00
_cell_angle_beta 90.00
_cell_angle_gamma 90.00
loop_
_atom_site_label
_atom_site_fract_x
_atom_site_fract_y
_atom_site_fract_z
_atom_site_occupancy
Cd1 0.0000 0.0000 0.0000 1
In1 0.5000 0.5000 0.0000 1
O1 0.0000 0.0000 0.5000 1
F1 0.0000 0.5000 0.5000 1
# DFT total energy ... -3.22 eV/atom
# Volume ... 96 Å³/cell
# Energy relative to the elements, uncorrected ... -72 kJ per mole of atoms
# Crystal system ... tetragonal
# Excess energy over the best structure of this formula in the dataset ... 779 meV per atom

***

# CaBe2AlSi, relaxed, DFT PBE
data_CaBe2AlSi
_space_group_name_H-M_alt 'P 4/m m m'
_space_group_IT_number 123
_space_group_name_Hall '-P 4 2'
_cell_length_a 5.0887
_cell_length_b 5.0887
_cell_length_c 5.3409
_cell_angle_alpha 90.00
_cell_angle_beta 90.00
_cell_angle_gamma 90.00
loop_
_atom_site_label
_atom_site_fract_x
_atom_site_fract_y
_atom_site_fract_z
_atom_site_occupancy
Ca1 0.0000 0.0000 0.0000 1
Be1 0.0000 0.5000 0.0000 1
Al1 0.5000 0.5000 0.5000 1
Si1 0.0000 0.0000 0.5000 1
# DFT total energy ... -1.88 eV/atom
# Volume ... 138 Å³/cell
# Energy relative to the elements, uncorrected ... 178 kJ per mole of atoms
# Crystal system ... tetragonal